MgNpMn2O6, optimized geometry, DFT PBE+U; E = -82.56 eV per cell
1.0
-2.734 -3.688 2.909
1.797 -1.457 4.918
-2.944 1.820 4.618
Mg Np Mn O
1 1 2 6
Direct
0.815 0.815 0.556
0.319 0.319 0.042
0.530 0.530 0.409
0.026 0.026 0.923
0.596 0.205 0.261
0.205 0.937 0.261
0.937 0.596 0.261
0.432 0.699 0.767
0.699 0.102 0.767
0.102 0.432 0.767